Record 1
Entry from Alexandria via LeMat-Bulk: a relaxed HgSb2Rh2 crystal (PBE).

The total DFT energy (no corrections) is -4.682 eV per atom. The uncorrected formation energy is -3 kJ per mole of atoms. The space group is P4/mbm, No. 127. The calculation puts the energy relative to the lowest polymorph listed for this composition at 10.8 kJ/mol of atoms.

Unit cell a=8.108 b=8.108 c=3.073 alpha=90.00 beta=90.00 gamma=90.00
Sites, in units of the cell vectors:
Hg1 0.000 0.000 0.000
Hg2 0.500 0.500 0.000
Sb1 0.152 0.348 0.000
Sb2 0.348 0.848 0.000
Sb3 0.652 0.152 0.000
Sb4 0.848 0.652 0.000
Rh1 0.132 0.632 0.500
Rh2 0.368 0.132 0.500
Rh3 0.632 0.868 0.500
Rh4 0.868 0.368 0.500

Record 2
Entry from Alexandria via LeMat-Bulk: a relaxed Nd3CdAg2 crystal (PBE).

The total DFT energy (no corrections) is -3.766 eV per atom. The formation energy comes out at -0.2793 eV/atom. The space group is P4/mmm, No. 123.

Unit cell a=3.801 b=3.801 c=11.284 alpha=90.00 beta=90.00 gamma=90.00
Sites, in units of the cell vectors:
Nd1 0.000 0.000 0.000
Nd2 0.000 0.000 0.328
Nd3 0.000 0.000 0.672
Cd1 0.500 0.500 0.500
Ag1 0.500 0.500 0.164
Ag2 0.500 0.500 0.836

Record 3
Entry from Alexandria via LeMat-Bulk: a relaxed Li4YPu3O12 crystal (PBE).

The total DFT energy (no corrections) is -8.274 eV per atom. The uncorrected formation energy is -236 kJ per mole of atoms. The space group is R32, No. 155.

Unit cell a=6.880 b=6.880 c=6.880 alpha=106.55 beta=106.55 gamma=106.55
Sites, in units of the cell vectors:
Li1 0.000 0.000 0.000
Li2 0.000 0.437 0.563
Li3 0.437 0.563 0.000
Li4 0.563 0.000 0.437
Y1 0.500 0.500 0.500
Pu1 0.056 0.944 0.500
Pu2 0.500 0.056 0.944
Pu3 0.944 0.500 0.056
O1 0.000 0.606 0.394
O2 0.000 0.836 0.164
O3 0.164 0.000 0.836
O4 0.174 0.269 0.528
O5 0.269 0.528 0.174
O6 0.394 0.000 0.606
O7 0.472 0.731 0.826
O8 0.528 0.174 0.269
O9 0.606 0.394 0.000
O10 0.731 0.826 0.472
O11 0.826 0.472 0.731
O12 0.836 0.164 0.000

Record 4
Entry from Alexandria via LeMat-Bulk: a relaxed LaReHRh crystal (PBE).

The total DFT energy (no corrections) is -6.829 eV per atom. The space group is Cm, No. 8. The calculation puts the energy relative to the lowest polymorph listed for this composition at 29.4 kJ/mol of atoms.

Unit cell a=4.028 b=4.028 c=5.957 alpha=110.82 beta=110.82 gamma=61.44
Sites, in units of the cell vectors:
La1 0.000 0.000 0.000
Re1 0.242 0.242 0.566
H1 0.384 0.384 0.368
Rh1 0.858 0.858 0.435

Record 5
Entry from Alexandria via LeMat-Bulk: a relaxed PrY3Ho2 crystal (PBE).

The total DFT energy (no corrections) is -5.434 eV per atom. The formation energy comes out at 0.1209 eV/atom. The space group is C2/m, No. 12. The calculation puts the energy relative to the lowest polymorph listed for this composition at 0.0 kJ/mol of atoms.

Unit cell a=11.732 b=11.732 c=10.285 alpha=108.20 beta=108.20 gamma=17.27
Sites, in units of the cell vectors:
Pr1 0.184 0.184 0.042
Pr2 0.816 0.816 0.958
Y1 0.060 0.060 0.444
Y2 0.196 0.196 0.716
Y3 0.433 0.433 0.234
Y4 0.567 0.567 0.766
Y5 0.804 0.804 0.284
Y6 0.940 0.940 0.556
Ho1 0.193 0.193 0.374
Ho2 0.431 0.431 0.859
Ho3 0.569 0.569 0.141
Ho4 0.807 0.807 0.626

Record 6
Entry from Alexandria via LeMat-Bulk: a relaxed SiIrSe2 crystal (PBE).

The total DFT energy (no corrections) is -5.100 eV per atom. The uncorrected formation energy is 21 kJ per mole of atoms. The space group is R-3m, No. 166.

Unit cell a=8.159 b=8.159 c=8.159 alpha=26.13 beta=26.13 gamma=26.13
Sites, in units of the cell vectors:
Si1 0.000 0.000 0.000
Ir1 0.500 0.500 0.500
Se1 0.112 0.112 0.112
Se2 0.888 0.888 0.888

Record 7
Entry from Alexandria via LeMat-Bulk: a relaxed TaAlPd4 crystal (PBE).

The total DFT energy (no corrections) is -6.619 eV per atom. The formation energy comes out at -0.5576 eV/atom. The space group is P-1, No. 2.

Unit cell a=4.966 b=5.984 c=7.050 alpha=102.15 beta=102.84 gamma=107.32
Sites, in units of the cell vectors:
Ta1 0.247 0.125 0.248
Ta2 0.753 0.875 0.752
Al1 0.254 0.628 0.259
Al2 0.746 0.372 0.741
Pd1 0.227 0.296 0.920
Pd2 0.246 0.788 0.924
Pd3 0.262 0.462 0.575
Pd4 0.264 0.966 0.585
Pd5 0.736 0.034 0.415
Pd6 0.738 0.538 0.425
Pd7 0.754 0.212 0.076
Pd8 0.773 0.704 0.080

Record 8
Entry from Alexandria via LeMat-Bulk: a relaxed LiAu4Se4Cl4O12 crystal (PBE).

The total DFT energy (no corrections) is -4.383 eV per atom. The uncorrected formation energy is -53 kJ per mole of atoms. The space group is P1, No. 1. The calculation puts the energy relative to the lowest polymorph listed for this composition at 0.6 kJ/mol of atoms.

Unit cell a=4.498 b=10.124 c=10.985 alpha=99.17 beta=91.40 gamma=93.04
Sites, in units of the cell vectors:
Li1 0.000 0.000 0.000
Au1 0.014 0.625 0.034
Au2 0.020 0.630 0.532
Au3 0.988 0.203 0.343
Au4 0.992 0.057 0.734
Se1 0.208 0.924 0.450
Se2 0.280 0.488 0.266
Se3 0.725 0.755 0.806
Se4 0.805 0.343 0.624
Cl1 0.286 0.440 0.979
Cl2 0.294 0.118 0.182
Cl3 0.687 0.141 0.897
Cl4 0.748 0.817 0.092
O1 0.011 0.885 0.821
O2 0.066 0.236 0.667
O3 0.083 0.617 0.215
O4 0.093 0.459 0.605
O5 0.300 0.984 0.604
O6 0.354 0.572 0.414
O7 0.688 0.274 0.474
O8 0.688 0.691 0.652
O9 0.929 0.025 0.407
O10 0.935 0.797 0.455
O11 0.948 0.633 0.851
O12 0.963 0.384 0.279

Record 9
Entry from Alexandria via LeMat-Bulk: a relaxed SrInGaHIr crystal (PBE).

The total DFT energy (no corrections) is -4.191 eV per atom. The space group is Cm, No. 8. The calculation puts the energy relative to the lowest polymorph listed for this composition at 19.3 kJ/mol of atoms.

Unit cell a=4.650 b=4.650 c=7.365 alpha=116.48 beta=116.48 gamma=46.61
Sites, in units of the cell vectors:
Sr1 0.000 0.000 0.000
In1 0.141 0.141 0.646
Ga1 0.424 0.424 0.310
H1 0.226 0.226 0.395
Ir1 0.755 0.755 0.402

Record 10
Entry from Alexandria via LeMat-Bulk: a relaxed CsRb2Pt crystal (PBE).

The total DFT energy (no corrections) is -1.969 eV per atom. The formation energy comes out at 0.2379 eV/atom. The space group is I-42d, No. 122. The calculation puts the energy relative to the lowest polymorph listed for this composition at 1.9 kJ/mol of atoms.

Unit cell a=9.727 b=9.727 c=9.727 alpha=117.13 beta=117.13 gamma=95.04
Sites, in units of the cell vectors:
Cs1 0.000 0.000 0.000
Cs2 0.750 0.250 0.500
Rb1 0.323 0.625 0.198
Rb2 0.375 0.573 0.698
Rb3 0.427 0.125 0.802
Rb4 0.875 0.677 0.302
Pt1 0.250 0.750 0.500
Pt2 0.500 0.500 0.000

Record 11
Entry from Alexandria via LeMat-Bulk: a relaxed Nd2ScCd crystal (PBE).

The total DFT energy (no corrections) is -4.038 eV per atom. The formation energy comes out at 0.1572 eV/atom. The space group is R-3m, No. 166. The calculation puts the energy relative to the lowest polymorph listed for this composition at 25.8 kJ/mol of atoms.

Unit cell a=12.257 b=12.257 c=12.257 alpha=16.19 beta=16.19 gamma=16.19
Sites, in units of the cell vectors:
Nd1 0.091 0.091 0.091
Nd2 0.909 0.909 0.909
Sc1 0.500 0.500 0.500
Cd1 0.000 0.000 0.000

Record 12
Entry from Alexandria via LeMat-Bulk: a relaxed Y3AlGa crystal (PBE).

The total DFT energy (no corrections) is -5.170 eV per atom. The formation energy comes out at 0.0621 eV/atom. The space group is Pm-3m, No. 221. The calculation puts the energy relative to the lowest polymorph listed for this composition at 32.1 kJ/mol of atoms.

Unit cell a=5.400 b=5.400 c=5.400 alpha=90.00 beta=90.00 gamma=90.00
Sites, in units of the cell vectors:
Y1 0.000 0.000 0.500
Y2 0.000 0.500 0.000
Y3 0.500 0.000 0.000
Al1 0.500 0.500 0.500
Ga1 0.000 0.000 0.000

Record 13
Entry from Alexandria via LeMat-Bulk: a relaxed K2Er2RhO6 crystal (PBE).

The total DFT energy (no corrections) is -6.608 eV per atom. The uncorrected formation energy is -213 kJ per mole of atoms. The space group is C2/m, No. 12.

Unit cell a=5.700 b=5.700 c=6.575 alpha=97.63 beta=97.63 gamma=119.55
Sites, in units of the cell vectors:
K1 0.161 0.839 0.000
K2 0.839 0.161 0.000
Er1 0.335 0.665 0.500
Er2 0.665 0.335 0.500
Rh1 0.000 0.000 0.500
O1 0.049 0.364 0.673
O2 0.254 0.254 0.325
O3 0.364 0.049 0.673
O4 0.636 0.951 0.327
O5 0.746 0.746 0.675
O6 0.951 0.636 0.327

Record 14
Entry from Alexandria via LeMat-Bulk: a relaxed Nd3Zn8Ir crystal (PBE).

The total DFT energy (no corrections) is -3.043 eV per atom. The formation energy comes out at -0.2635 eV/atom. The space group is R3m, No. 160.

Unit cell a=9.923 b=9.923 c=9.923 alpha=30.96 beta=30.96 gamma=30.96
Sites, in units of the cell vectors:
Nd1 0.000 0.000 0.000
Nd2 0.128 0.128 0.128
Nd3 0.517 0.517 0.517
Zn1 0.063 0.567 0.567
Zn2 0.074 0.074 0.571
Zn3 0.074 0.571 0.074
Zn4 0.317 0.317 0.317
Zn5 0.567 0.063 0.567
Zn6 0.567 0.567 0.063
Zn7 0.571 0.074 0.074
Zn8 0.822 0.822 0.822
Ir1 0.616 0.616 0.616

Record 15
Entry from Alexandria via LeMat-Bulk: a relaxed TaNiHg crystal (PBE).

The total DFT energy (no corrections) is -5.883 eV per atom. The formation energy comes out at 0.0958 eV/atom. The space group is C2/m, No. 12. The calculation puts the energy relative to the lowest polymorph listed for this composition at 11.7 kJ/mol of atoms.

Unit cell a=5.703 b=5.703 c=6.209 alpha=105.35 beta=105.35 gamma=31.22
Sites, in units of the cell vectors:
Ta1 0.160 0.160 0.076
Ta2 0.840 0.840 0.924
Ni1 0.500 0.500 0.205
Ni2 0.500 0.500 0.795
Hg1 0.142 0.142 0.568
Hg2 0.858 0.858 0.432

Record 16
Entry from Alexandria via LeMat-Bulk: a relaxed VRh crystal (PBE).

The total DFT energy (no corrections) is -7.968 eV per atom. The formation energy comes out at 0.2674 eV/atom. The space group is Fm-3m, No. 225.

Unit cell a=3.519 b=3.519 c=3.519 alpha=60.00 beta=60.00 gamma=60.00
Sites, in units of the cell vectors:
V1 0.000 0.000 0.000
Rh1 0.500 0.500 0.500

Record 17
Entry from Alexandria via LeMat-Bulk: a relaxed CuTe2Br crystal (PBE).

The total DFT energy (no corrections) is -2.944 eV per atom. The uncorrected formation energy is 7 kJ per mole of atoms. The space group is Pm, No. 6.

Unit cell a=4.584 b=5.432 c=5.623 alpha=90.00 beta=112.84 gamma=90.00
Sites, in units of the cell vectors:
Cu1 0.000 0.000 0.000
Te1 0.592 0.000 0.194
Te2 0.773 0.500 0.065
Br1 0.272 0.500 0.570

Record 18
Entry from Alexandria via LeMat-Bulk: a relaxed LiWN3 crystal (PBE).

The total DFT energy (no corrections) is -6.276 eV per atom. The uncorrected formation energy is 163 kJ per mole of atoms. The space group is Pm-3m, No. 221.

Unit cell a=3.440 b=3.440 c=3.440 alpha=90.00 beta=90.00 gamma=90.00
Sites, in units of the cell vectors:
Li1 0.000 0.000 0.000
W1 0.500 0.500 0.500
N1 0.000 0.000 0.500
N2 0.000 0.500 0.000
N3 0.500 0.000 0.000

Record 19
Entry from Alexandria via LeMat-Bulk: a relaxed Na2ThBr6 crystal (PBE).

The total DFT energy (no corrections) is -3.895 eV per atom. The uncorrected formation energy is -160 kJ per mole of atoms. The space group is P4_2/mnm, No. 136. The calculation puts the energy relative to the lowest polymorph listed for this composition at 0.7 kJ/mol of atoms.

Unit cell a=7.026 b=7.026 c=13.228 alpha=90.00 beta=90.00 gamma=90.00
Sites, in units of the cell vectors:
Na1 0.000 0.000 0.166
Na2 0.000 0.000 0.834
Na3 0.500 0.500 0.334
Na4 0.500 0.500 0.666
Th1 0.000 0.000 0.500
Th2 0.500 0.500 0.000
Br1 0.195 0.195 0.342
Br2 0.195 0.195 0.658
Br3 0.212 0.212 0.000
Br4 0.288 0.712 0.500
Br5 0.305 0.695 0.158
Br6 0.305 0.695 0.842
Br7 0.695 0.305 0.158
Br8 0.695 0.305 0.842
Br9 0.712 0.288 0.500
Br10 0.788 0.788 0.000
Br11 0.805 0.805 0.342
Br12 0.805 0.805 0.658

Record 20
Entry from Alexandria via LeMat-Bulk: a relaxed NaRe2NiB crystal (PBE).

The total DFT energy (no corrections) is -5.963 eV per atom. The formation energy comes out at 1.7720 eV/atom. The space group is P4/mmm, No. 123.

Unit cell a=4.651 b=4.651 c=3.696 alpha=90.00 beta=90.00 gamma=90.00
Sites, in units of the cell vectors:
Na1 0.000 0.000 0.000
Re1 0.000 0.500 0.500
Re2 0.500 0.000 0.500
Ni1 0.500 0.500 0.500
B1 0.500 0.500 0.000

Record 21
Entry from Alexandria via LeMat-Bulk: a relaxed PaZnRu2 crystal (PBE).

The total DFT energy (no corrections) is -7.846 eV per atom. The formation energy comes out at -0.5157 eV/atom. The space group is P4/mmm, No. 123.

Unit cell a=4.279 b=4.279 c=3.638 alpha=90.00 beta=90.00 gamma=90.00
Sites, in units of the cell vectors:
Pa1 0.000 0.000 0.000
Zn1 0.500 0.500 0.000
Ru1 0.000 0.500 0.500
Ru2 0.500 0.000 0.500

Record 22
Entry from Alexandria via LeMat-Bulk: a relaxed CaErCu crystal (PBE).

The total DFT energy (no corrections) is -3.642 eV per atom. The formation energy comes out at -0.0881 eV/atom. The space group is I4mm, No. 107.

Unit cell a=6.786 b=6.786 c=6.786 alpha=149.84 beta=149.84 gamma=43.18
Sites, in units of the cell vectors:
Ca1 0.000 0.000 0.000
Er1 0.269 0.269 0.000
Cu1 0.655 0.655 0.000

Record 23
Entry from Alexandria via LeMat-Bulk: a relaxed Rb4SeCl2 crystal (PBE).

The total DFT energy (no corrections) is -2.939 eV per atom. The uncorrected formation energy is -131 kJ per mole of atoms. The space group is I4/mmm, No. 139. The calculation puts the energy relative to the lowest polymorph listed for this composition at 16.7 kJ/mol of atoms.

Unit cell a=9.943 b=9.943 c=9.943 alpha=142.09 beta=142.09 gamma=54.70
Sites, in units of the cell vectors:
Rb1 0.000 0.500 0.500
Rb2 0.183 0.183 0.000
Rb3 0.500 0.000 0.500
Rb4 0.817 0.817 0.000
Se1 0.000 0.000 0.000
Cl1 0.361 0.361 0.000
Cl2 0.639 0.639 0.000

no.,magnetization (μB/f.u.)
1,0.0
2,0.3
3,7.0
4,0.0
5,0.0
6,0.0
7,0.0
8,0.0
9,0.0
10,0.0
11,0.0
12,0.0
13,1.1
14,0.0
15,0.0
16,0.0
17,0.0
18,0.0
19,0.0
20,3.1
21,0.0
22,0.0
23,0.0